{"formula": "SnTeAu2", "functional": "PBE-GGA", "state": "relaxed", "crystal_system": "trigonal", "polymorph_energy_kj_per_mol_atoms": 26.19, "total_magnetization_mub_per_atom": 0.00, "cell": [[4.6836, 0.0000, 0.0000], [2.3418, 4.0561, 0.0000], [2.3418, 1.3520, 6.6425]], "species": ["Te", "Au", "Au", "Sn"], "fractional_positions": [[0.0000, 0.0000, 0.0000], [0.1345, 0.1345, 0.5964], [0.8655, 0.8655, 0.4036], [0.5000, 0.5000, 0.5000]]}